Pm2Nd12Dy5: optimized geometry, PBE.

Calculated values
**DFT total energy**: -4.60 eV per atom
**ρ**: 7.12 g/cm3
**Magnetic moment**: 0.000 μB/atom
**Energy above the most stable polymorph in this dataset**: 29 meV/atom
**Space group**: C2/m (12)

The structure in POSCAR format:
```
Pm2Nd12Dy5
1.0
8.014 -5.117 0.000
8.014 5.117 0.000
-0.188 0.000 8.052
Pm Nd Dy
2 12 5
Cartesian
8.014 2.738 0.000 Pm
8.014 -2.738 0.000 Pm
4.914 2.767 1.668 Nd
2.474 0.000 0.975 Nd
6.204 2.317 4.923 Nd
9.636 2.317 3.129 Nd
10.925 2.767 6.384 Nd
7.132 0.000 2.323 Nd
8.708 0.000 5.729 Nd
4.914 -2.767 1.668 Nd
6.204 -2.317 4.923 Nd
9.636 -2.317 3.129 Nd
13.365 0.000 7.077 Nd
10.925 -2.767 6.384 Nd
-0.094 0.000 4.026 Dy
3.859 0.000 3.941 Dy
5.462 0.000 7.374 Dy
10.378 0.000 0.678 Dy
11.980 0.000 4.111 Dy
```